No. 1
A plane-wave DFT calculation with PBE-GGA was carried out for LiZnP2 after structural relaxation.

- symmetry = P2/m
- total DFT energy (no corrections) (eV/atom) = -3.653
- total magnetization (μB per atom) = 0.00

Geometry as CIF:
```
data_LiZnP2
_chemical_formula_sum 'Li1 Zn1 P2'
_cell_length_a 3.766
_cell_length_b 3.631
_cell_length_c 5.186
_cell_angle_alpha 89.81
_cell_angle_beta 90.00
_cell_angle_gamma 90.00
_space_group_name_H-M_alt 'P 1'
_space_group_IT_number 1
loop_
_space_group_symop_operation_xyz
'x,y,z'
loop_
_atom_site_label
_atom_site_fract_x
_atom_site_fract_y
_atom_site_fract_z
Zn1 0.500 0.250 0.250
P1 0.000 0.249 0.954
P2 0.000 0.251 0.546
Li1 0.500 0.750 0.750
```



No. 2
A plane-wave DFT calculation with PBE-GGA was carried out for K2Ti2Te after structural relaxation.

- symmetry = I4/mmm
- total DFT energy (no corrections) (eV/atom) = -3.971
- relative energy among the computed polymorphs (meV per atom) = 0
- total magnetization (μB per atom) = 0.00

Geometry as CIF:
```
data_K2Ti2Te
_chemical_formula_sum 'K2 Ti2 Te1'
_cell_length_a 3.627
_cell_length_b 3.627
_cell_length_c 12.175
_cell_angle_alpha 81.43
_cell_angle_beta 81.43
_cell_angle_gamma 90.00
_space_group_name_H-M_alt 'P 1'
_space_group_IT_number 1
loop_
_space_group_symop_operation_xyz
'x,y,z'
loop_
_atom_site_label
_atom_site_fract_x
_atom_site_fract_y
_atom_site_fract_z
K1 0.396 0.396 0.207
K2 0.604 0.604 0.793
Ti1 0.250 0.750 0.500
Ti2 0.750 0.250 0.500
Te1 0.000 0.000 0.000
```